## NdSm4Ga5 (GGA-PBE)

Data for a geometry-optimized NdSm4Ga5 structure.

```
NdSm4Ga5
1.0
-1.0684 1.9144 2.9258
1.9402 -2.2205 2.1614
14.5484 10.9250 -1.8356
Ga Nd Sm
5 1 4
Direct
0.5000 0.5000 0.3013
0.5000 0.5000 0.1033
0.5000 0.5000 0.8967
0.5000 0.5000 0.6987
0.5000 0.5000 0.5000
0.0000 0.0000 0.0000
0.0000 0.0000 0.7980
0.0000 0.0000 0.4006
0.0000 0.0000 0.5994
0.0000 0.0000 0.2020
```

Calculated values
The crystal system is tetragonal. Its final energy is -4.447 eV per atom. As for the symmetry: P4/mmm (123). As for the mass density: 7434 kg/m3. The calculation puts the magnetic moment at 0.000 μB/atom.